Density functional theory data (GGA-PBE) for crystalline Np2Cd5O12 at its relaxed geometry.

Summary:
For the uncorrected formation energy, the calculation gives -36.35 kcal/mol of atoms.

a = 11.517 Å, b = 6.650 Å, c = 8.587 Å
α = 90.00°, β = 112.25°, γ = 90.00°
Space group C2/m (No. 12)
One atom of each set of equivalent atoms:
Np (0.000, 0.247, 0.000) [4 per cell]
Cd (0.000, 0.000, 0.500) [2 per cell]
Cd (0.162, 0.500, 0.728) [4 per cell]
Cd (0.207, 0.500, 0.403) [4 per cell]
O (0.011, 0.500, 0.842) [4 per cell]
O (0.012, 0.000, 0.857) [4 per cell]
O (0.142, 0.247, 0.545) [8 per cell]
O (0.174, 0.245, 0.111) [8 per cell]